VASP calculation (PBE-GGA) on an optimized crystal structure of CaMgCu.

## Properties
D(E_F) in states/eV/atom: 0.657
Energy of formation from the pure elements in eV per formula unit: 0.3

Lattice parameters (Å, degrees): 3.237 16.870 5.090 90.00 90.00 90.00
Space group Pmmn (No. 59, origin choice 2)
Unique sites:
1 Ca 0.250 0.152 0.250 (multiplicity 4)
2 Mg 0.250 0.036 0.750 (multiplicity 4)
3 Cu 0.250 0.678 0.249 (multiplicity 4)